1.
{
  "formula": "Tb2HoCl",
  "functional": "PBE",
  "state": "relaxed",
  "formation_energy_uncorrected_mev_per_atom": -651,
  "crystal_system": "trigonal",
  "dos_at_fermi_per_ev_cell": 4.1,
  "spacegroup": "R-3m",
  "lattice": [[-1.433, -1.752, -2.796], [1.704, -2.837, -1.409], [-4.771, -7.567, 4.872]],
  "species": ["Tb", "Cl", "Tb", "Ho"],
  "fractional_positions": [[0.740, 0.740, 0.781], [0.000, 0.000, 0.000], [0.260, 0.260, 0.219], [0.500, 0.500, 0.500]]
}



2.
{
  "formula": "TbHo2Cl",
  "functional": "PBE",
  "state": "relaxed",
  "formation_energy_uncorrected_mev_per_atom": -349,
  "crystal_system": "trigonal",
  "dos_at_fermi_per_ev_cell": 5.8,
  "spacegroup": "R-3m",
  "lattice": [[3.423, 0.000, 0.000], [1.711, 2.964, 0.000], [1.711, 0.988, 11.171]],
  "species": ["Ho", "Cl", "Ho", "Tb"],
  "fractional_positions": [[0.101, 0.101, 0.698], [0.500, 0.500, 0.500], [0.899, 0.899, 0.302], [0.000, 0.000, 0.000]]
}



3.
{
  "formula": "TbHoCl",
  "functional": "PBE",
  "state": "relaxed",
  "polymorph_energy_mev_per_atom": 87.5,
  "formation_energy_uncorrected_mev_per_atom": -810,
  "crystal_system": "monoclinic",
  "dos_at_fermi_per_ev_cell": 3.3,
  "spacegroup": "Cm",
  "lattice": [[10.239, 0.316, -1.302], [5.089, 3.034, -1.126], [-7.040, -3.742, 6.548]],
  "species": ["Cl", "Tb", "Cl", "Ho", "Ho", "Tb"],
  "fractional_positions": [[0.689, 0.412, 0.552], [0.874, 0.630, 0.050], [0.690, 0.906, 0.549], [0.190, 0.132, 0.366], [0.189, 0.184, 0.734], [0.505, 0.686, 0.050]]
}



4.
{
  "formula": "TbHoCl3",
  "functional": "PBE",
  "state": "relaxed",
  "formation_energy_uncorrected_mev_per_atom": -1831,
  "crystal_system": "monoclinic",
  "spacegroup": "C2/m",
  "lattice": [[-2.793, -2.532, -0.658], [3.715, -7.302, 1.198], [-1.989, -3.012, 8.898]],
  "species": ["Cl", "Ho", "Cl", "Cl", "Ho", "Tb", "Cl", "Cl", "Tb", "Cl"],
  "fractional_positions": [[0.221, 0.675, 0.883], [0.582, 0.789, 0.047], [0.662, 0.182, 0.493], [0.779, 0.325, 0.117], [0.418, 0.211, 0.953], [0.139, 0.013, 0.710], [0.041, 0.660, 0.257], [0.959, 0.340, 0.743], [0.861, 0.987, 0.290], [0.338, 0.818, 0.507]]
}



5.
{
  "formula": "TbHoCl",
  "functional": "PBE",
  "state": "relaxed",
  "polymorph_energy_mev_per_atom": 0.0,
  "formation_energy_uncorrected_mev_per_atom": -898,
  "crystal_system": "trigonal",
  "dos_at_fermi_per_ev_cell": 3.6,
  "spacegroup": "P3m1",
  "lattice": [[3.667, 0.000, 0.000], [-1.833, 3.176, 0.000], [0.000, 0.000, 6.979]],
  "species": ["Cl", "Ho", "Tb"],
  "fractional_positions": [[0.667, 0.333, 0.332], [0.000, 0.000, 0.024], [0.333, 0.667, 0.644]]
}



6.
{
  "formula": "TbHo3Cl",
  "functional": "PBE",
  "state": "relaxed",
  "formation_energy_uncorrected_mev_per_atom": -430,
  "crystal_system": "cubic",
  "dos_at_fermi_per_ev_cell": 5.9,
  "spacegroup": "Pm-3m",
  "lattice": [[-1.706, 4.367, -2.370], [1.993, -1.694, -4.556], [-4.552, -2.379, -1.107]],
  "species": ["Cl", "Ho", "Ho", "Tb", "Ho"],
  "fractional_positions": [[0.000, 0.000, 0.000], [0.500, 0.000, 0.000], [0.000, 0.000, 0.500], [0.500, 0.500, 0.500], [0.000, 0.500, 0.000]]
}



7.
{
  "formula": "Ho2TcCl",
  "functional": "PBE",
  "state": "relaxed",
  "polymorph_energy_mev_per_atom": 723.1,
  "formation_energy_uncorrected_mev_per_atom": 7,
  "crystal_system": "trigonal",
  "dos_at_fermi_per_ev_cell": 4.0,
  "spacegroup": "R-3m",
  "lattice": [[3.230, 0.000, 0.000], [1.615, 2.797, 0.000], [1.615, 0.932, 9.849]],
  "species": ["Cl", "Ho", "Tc", "Ho"],
  "fractional_positions": [[0.500, 0.500, 0.500], [0.090, 0.090, 0.731], [0.000, 0.000, 0.000], [0.910, 0.910, 0.269]]
}



8.
{
  "formula": "Ho2TcCl",
  "functional": "PBE",
  "state": "relaxed",
  "polymorph_energy_mev_per_atom": 0.0,
  "formation_energy_uncorrected_mev_per_atom": -716,
  "crystal_system": "tetragonal",
  "dos_at_fermi_per_ev_cell": 2.2,
  "spacegroup": "P4/mmm",
  "lattice": [[-2.270, -0.163, 2.525], [-0.939, -3.097, -1.044], [5.380, -3.192, 4.630]],
  "species": ["Tc", "Ho", "Cl", "Ho"],
  "fractional_positions": [[0.500, 0.500, 0.000], [0.000, 0.000, 0.790], [0.500, 0.500, 0.500], [0.000, 0.000, 0.210]]
}



9.
{
  "formula": "HoTcCl",
  "functional": "PBE",
  "state": "relaxed",
  "polymorph_energy_mev_per_atom": 0.0,
  "formation_energy_uncorrected_mev_per_atom": -1059,
  "crystal_system": "trigonal",
  "dos_at_fermi_per_ev_cell": 4.2,
  "spacegroup": "R-3m",
  "lattice": [[-3.271, 1.306, 1.964], [-3.453, 0.582, -1.999], [-5.211, -9.905, 2.049]],
  "species": ["Cl", "Ho", "Cl", "Tc", "Ho", "Tc"],
  "fractional_positions": [[0.719, 0.719, 0.843], [0.565, 0.565, 0.304], [0.281, 0.281, 0.157], [0.839, 0.839, 0.482], [0.435, 0.435, 0.696], [0.161, 0.161, 0.518]]
}



10.
{
  "formula": "HoTcCl",
  "functional": "PBE",
  "state": "relaxed",
  "polymorph_energy_mev_per_atom": 166.3,
  "formation_energy_uncorrected_mev_per_atom": -892,
  "crystal_system": "triclinic",
  "dos_at_fermi_per_ev_cell": 4.1,
  "spacegroup": "P1",
  "lattice": [[4.053, 0.003, -0.032], [2.001, 3.389, -0.702], [0.112, -2.279, 12.306]],
  "species": ["Tc", "Ho", "Cl", "Cl", "Tc", "Ho"],
  "fractional_positions": [[0.962, 0.946, 0.221], [0.428, 0.009, 0.019], [0.862, 0.144, 0.875], [0.742, 0.398, 0.569], [0.646, 0.575, 0.190], [0.498, 0.881, 0.425]]
}



11.
{
  "formula": "Ho2ThCl",
  "functional": "PBE",
  "state": "relaxed",
  "formation_energy_uncorrected_mev_per_atom": -667,
  "crystal_system": "trigonal",
  "dos_at_fermi_per_ev_cell": 3.6,
  "spacegroup": "R-3m",
  "lattice": [[3.617, 0.000, 0.000], [1.809, 3.133, 0.000], [1.809, 1.044, 9.768]],
  "species": ["Cl", "Th", "Ho", "Ho"],
  "fractional_positions": [[0.000, 0.000, 0.000], [0.500, 0.500, 0.500], [0.260, 0.260, 0.221], [0.740, 0.740, 0.779]]
}



12.
{
  "formula": "Ho2TiCl",
  "functional": "PBE",
  "state": "relaxed",
  "formation_energy_uncorrected_mev_per_atom": -181,
  "crystal_system": "trigonal",
  "dos_at_fermi_per_ev_cell": 3.8,
  "spacegroup": "R-3m",
  "lattice": [[-0.780, -2.883, -1.389], [2.217, -1.594, -1.841], [3.896, -6.482, 7.359]],
  "species": ["Ti", "Ho", "Ho", "Cl"],
  "fractional_positions": [[0.000, 0.000, 0.000], [0.906, 0.906, 0.283], [0.094, 0.094, 0.717], [0.500, 0.500, 0.500]]
}



13.
{
  "formula": "Ho2TlCl8",
  "functional": "PBE",
  "state": "relaxed",
  "formation_energy_uncorrected_mev_per_atom": -1789,
  "crystal_system": "monoclinic",
  "dos_at_fermi_per_ev_cell": 4.5,
  "spacegroup": "C2/m",
  "lattice": [[7.084, -0.017, 0.762], [0.840, 6.506, 2.199], [0.319, -0.651, 6.881]],
  "species": ["Ho", "Cl", "Cl", "Cl", "Tl", "Ho", "Cl", "Cl", "Cl", "Cl", "Cl"],
  "fractional_positions": [[0.548, 0.683, 0.683], [0.339, 0.670, 0.050], [0.851, 0.786, 0.786], [0.661, 0.950, 0.330], [0.000, 0.000, 0.000], [0.452, 0.317, 0.317], [0.264, 0.557, 0.557], [0.339, 0.050, 0.670], [0.736, 0.443, 0.443], [0.661, 0.330, 0.950], [0.149, 0.214, 0.214]]
}



14.
{
  "formula": "Ho2Tl3Cl9",
  "functional": "PBE",
  "state": "relaxed",
  "formation_energy_uncorrected_mev_per_atom": -1737,
  "crystal_system": "trigonal",
  "dos_at_fermi_per_ev_cell": 0.0,
  "spacegroup": "R-3c",
  "lattice": [[9.616, 0.016, 0.878], [0.803, 9.583, 0.878], [0.017, 0.016, 9.656]],
  "species": ["Ho", "Cl", "Cl", "Cl", "Tl", "Cl", "Cl", "Cl", "Tl", "Cl", "Tl", "Cl", "Cl", "Ho", "Ho", "Cl", "Cl", "Cl", "Cl", "Cl", "Tl", "Cl", "Ho", "Tl", "Cl", "Cl", "Cl", "Tl"],
  "fractional_positions": [[0.354, 0.354, 0.354], [0.065, 0.921, 0.276], [0.902, 0.750, 0.598], [0.250, 0.402, 0.098], [0.948, 0.552, 0.250], [0.079, 0.724, 0.935], [0.565, 0.776, 0.421], [0.598, 0.902, 0.750], [0.052, 0.448, 0.750], [0.750, 0.598, 0.902], [0.448, 0.750, 0.052], [0.579, 0.435, 0.224], [0.276, 0.065, 0.921], [0.146, 0.146, 0.146], [0.854, 0.854, 0.854], [0.224, 0.579, 0.435], [0.935, 0.079, 0.724], [0.421, 0.565, 0.776], [0.098, 0.250, 0.402], [0.921, 0.276, 0.065], [0.552, 0.250, 0.948], [0.402, 0.098, 0.250], [0.646, 0.646, 0.646], [0.250, 0.948, 0.552], [0.776, 0.421, 0.565], [0.724, 0.935, 0.079], [0.435, 0.224, 0.579], [0.750, 0.052, 0.448]]
}



15.
{
  "formula": "Ho2Tl5Cl12",
  "functional": "PBE",
  "state": "relaxed",
  "formation_energy_uncorrected_mev_per_atom": -1459,
  "crystal_system": "monoclinic",
  "dos_at_fermi_per_ev_cell": 7.0,
  "spacegroup": "C2/m",
  "lattice": [[-4.769, -4.984, 2.977], [4.133, -8.218, -1.916], [5.090, -3.880, 6.879]],
  "species": ["Cl", "Ho", "Cl", "Cl", "Tl", "Cl", "Cl", "Cl", "Cl", "Cl", "Ho", "Tl", "Tl", "Tl", "Cl", "Cl", "Tl", "Cl", "Cl"],
  "fractional_positions": [[0.753, 0.099, 0.711], [0.000, 0.748, 0.252], [0.209, 0.145, 0.536], [0.753, 0.711, 0.099], [0.004, 0.755, 0.755], [0.818, 0.076, 0.076], [0.247, 0.901, 0.289], [0.791, 0.464, 0.855], [0.811, 0.474, 0.474], [0.182, 0.924, 0.924], [0.000, 0.252, 0.748], [0.505, 0.356, 0.356], [0.996, 0.245, 0.245], [0.500, 0.000, 0.000], [0.209, 0.536, 0.145], [0.791, 0.855, 0.464], [0.495, 0.644, 0.644], [0.247, 0.289, 0.901], [0.189, 0.526, 0.526]]
}



16.
{
  "formula": "HoTl4Cl7",
  "functional": "PBE",
  "state": "relaxed",
  "formation_energy_uncorrected_mev_per_atom": -1434,
  "crystal_system": "monoclinic",
  "dos_at_fermi_per_ev_cell": 0.0,
  "spacegroup": "C2/m",
  "lattice": [[4.959, 0.000, -1.619], [-1.283, 6.422, -3.930], [0.937, 2.043, 11.270]],
  "species": ["Cl", "Cl", "Tl", "Tl", "Tl", "Ho", "Cl", "Cl", "Cl", "Tl", "Cl", "Cl"],
  "fractional_positions": [[0.927, 0.201, 0.855], [0.106, 0.308, 0.212], [0.586, 0.538, 0.172], [0.695, 0.143, 0.389], [0.414, 0.462, 0.828], [0.000, 0.000, 0.000], [0.073, 0.799, 0.145], [0.722, 0.779, 0.443], [0.894, 0.692, 0.788], [0.305, 0.857, 0.611], [0.500, 0.000, 0.000], [0.278, 0.221, 0.557]]
}



17.
{
  "formula": "HoTlZnCl6",
  "functional": "PBE",
  "state": "relaxed",
  "formation_energy_uncorrected_mev_per_atom": -1612,
  "crystal_system": "trigonal",
  "dos_at_fermi_per_ev_cell": 0.0,
  "spacegroup": "P-31c",
  "lattice": [[-3.535, 3.015, 4.848], [-2.628, -0.684, -6.141], [-5.528, -12.525, 3.760]],
  "species": ["Cl", "Cl", "Cl", "Cl", "Cl", "Zn", "Tl", "Cl", "Cl", "Cl", "Cl", "Cl", "Cl", "Ho", "Cl", "Ho", "Zn", "Tl"],
  "fractional_positions": [[0.619, 0.984, 0.353], [0.381, 0.016, 0.647], [0.634, 0.619, 0.647], [0.366, 0.381, 0.353], [0.984, 0.619, 0.853], [0.333, 0.667, 0.250], [0.000, 0.000, 0.500], [0.366, 0.984, 0.147], [0.381, 0.366, 0.853], [0.619, 0.634, 0.147], [0.634, 0.016, 0.853], [0.016, 0.634, 0.353], [0.984, 0.366, 0.647], [0.333, 0.667, 0.750], [0.016, 0.381, 0.147], [0.667, 0.333, 0.250], [0.667, 0.333, 0.750], [0.000, 0.000, 0.000]]
}



18.
{
  "formula": "HoTm3Cl",
  "functional": "PBE",
  "state": "relaxed",
  "formation_energy_uncorrected_mev_per_atom": -392,
  "crystal_system": "cubic",
  "dos_at_fermi_per_ev_cell": 7.0,
  "spacegroup": "Pm-3m",
  "lattice": [[5.197, 0.000, 0.000], [0.000, 5.197, 0.000], [0.000, 0.000, 5.197]],
  "species": ["Ho", "Cl", "Tm", "Tm", "Tm"],
  "fractional_positions": [[0.500, 0.500, 0.500], [0.000, 0.000, 0.000], [0.500, 0.000, 0.000], [0.000, 0.000, 0.500], [0.000, 0.500, 0.000]]
}



19.
{
  "formula": "HoTmCl",
  "functional": "PBE",
  "state": "relaxed",
  "polymorph_energy_mev_per_atom": 103.5,
  "formation_energy_uncorrected_mev_per_atom": -784,
  "crystal_system": "monoclinic",
  "dos_at_fermi_per_ev_cell": 5.5,
  "spacegroup": "P2_1/m",
  "lattice": [[-3.192, -0.524, 1.271], [-0.612, -4.156, -3.248], [6.447, -4.551, 4.607]],
  "species": ["Ho", "Tm", "Cl", "Cl", "Ho", "Tm"],
  "fractional_positions": [[0.340, 0.250, 0.590], [0.056, 0.750, 0.807], [0.163, 0.250, 0.917], [0.837, 0.750, 0.083], [0.660, 0.750, 0.410], [0.944, 0.250, 0.193]]
}



20.
{
  "formula": "Ho2TmCl",
  "functional": "PBE",
  "state": "relaxed",
  "formation_energy_uncorrected_mev_per_atom": -635,
  "crystal_system": "trigonal",
  "dos_at_fermi_per_ev_cell": 4.3,
  "spacegroup": "R-3m",
  "lattice": [[3.570, 0.000, 0.000], [1.785, 3.091, 0.000], [1.785, 1.030, 9.870]],
  "species": ["Tm", "Ho", "Ho", "Cl"],
  "fractional_positions": [[0.500, 0.500, 0.500], [0.740, 0.740, 0.779], [0.260, 0.260, 0.221], [0.000, 0.000, 0.000]]
}



21.
{
  "formula": "HoTmCl",
  "functional": "PBE",
  "state": "relaxed",
  "polymorph_energy_mev_per_atom": 0.0,
  "formation_energy_uncorrected_mev_per_atom": -888,
  "crystal_system": "trigonal",
  "dos_at_fermi_per_ev_cell": 3.6,
  "spacegroup": "P3m1",
  "lattice": [[-0.911, -0.245, 3.500], [-1.104, -2.537, -2.342], [5.748, -3.647, 1.241]],
  "species": ["Ho", "Cl", "Tm"],
  "fractional_positions": [[0.667, 0.333, 0.354], [0.333, 0.667, 0.668], [0.000, 0.000, 0.978]]
}



22.
{
  "formula": "HoTmCl6",
  "functional": "PBE",
  "state": "relaxed",
  "formation_energy_uncorrected_mev_per_atom": -2248,
  "crystal_system": "trigonal",
  "dos_at_fermi_per_ev_cell": 0.0,
  "spacegroup": "R-3",
  "lattice": [[6.683, 0.008, 0.008], [3.334, 5.792, 0.012], [3.330, 1.925, 6.045]],
  "species": ["Cl", "Tm", "Cl", "Cl", "Cl", "Cl", "Cl", "Ho"],
  "fractional_positions": [[0.252, 0.893, 0.251], [0.500, 0.500, 0.500], [0.893, 0.605, 0.251], [0.395, 0.749, 0.749], [0.107, 0.395, 0.749], [0.605, 0.251, 0.251], [0.748, 0.107, 0.749], [0.000, 0.000, 0.000]]
}



23.
{
  "formula": "HoV2Cl8",
  "functional": "PBE",
  "state": "relaxed",
  "formation_energy_uncorrected_mev_per_atom": -1418,
  "crystal_system": "monoclinic",
  "dos_at_fermi_per_ev_cell": 5.9,
  "spacegroup": "C2/m",
  "lattice": [[-2.812, -3.236, 4.592], [6.508, -0.179, 4.350], [-0.486, 6.296, 4.630]],
  "species": ["V", "Cl", "Cl", "V", "Ho", "Cl", "Cl", "Cl", "Cl", "Cl", "Cl"],
  "fractional_positions": [[0.356, 0.205, 0.205], [0.237, 0.283, 0.916], [0.730, 0.173, 0.173], [0.644, 0.795, 0.795], [0.000, 0.000, 0.000], [0.221, 0.372, 0.372], [0.270, 0.827, 0.827], [0.237, 0.916, 0.283], [0.763, 0.084, 0.717], [0.779, 0.628, 0.628], [0.763, 0.717, 0.084]]
}



24.
{
  "formula": "Y3HoCl",
  "functional": "PBE",
  "state": "relaxed",
  "formation_energy_uncorrected_mev_per_atom": -447,
  "crystal_system": "cubic",
  "dos_at_fermi_per_ev_cell": 7.3,
  "spacegroup": "Pm-3m",
  "lattice": [[5.287, 0.000, 0.000], [0.000, 5.287, 0.000], [0.000, 0.000, 5.287]],
  "species": ["Y", "Y", "Y", "Cl", "Ho"],
  "fractional_positions": [[0.000, 0.000, 0.500], [0.000, 0.500, 0.000], [0.500, 0.000, 0.000], [0.000, 0.000, 0.000], [0.500, 0.500, 0.500]]
}



25.
{
  "formula": "YHoCl",
  "functional": "PBE",
  "state": "relaxed",
  "formation_energy_uncorrected_mev_per_atom": -908,
  "crystal_system": "trigonal",
  "dos_at_fermi_per_ev_cell": 3.7,
  "spacegroup": "P3m1",
  "lattice": [[-1.994, -2.505, 1.803], [0.477, -0.299, -3.631], [5.714, -3.783, 1.062]],
  "species": ["Ho", "Cl", "Y"],
  "fractional_positions": [[0.000, 0.000, 0.024], [0.667, 0.333, 0.334], [0.333, 0.667, 0.643]]
}